# 1
Compound: Nb3AgPb
Source: the Alexandria database
Functional: PBE-GGA
Structure: optimized geometry

Structure (CIF):
```
data_Nb3AgPb
_chemical_formula_sum 'Nb3 Ag1 Pb1'
_cell_length_a 4.953
_cell_length_b 4.953
_cell_length_c 4.953
_cell_angle_alpha 90.00
_cell_angle_beta 90.00
_cell_angle_gamma 90.00
_space_group_name_H-M_alt 'P m -3 m'
_space_group_IT_number 221
_space_group_name_Hall '-P 4 2 3'
loop_
_atom_site_label
_atom_site_fract_x
_atom_site_fract_y
_atom_site_fract_z
Nb1 0.000 0.000 0.500
Ag1 0.000 0.000 0.000
Pb1 0.500 0.500 0.500
```

Properties
V	121	Å³/cell
ΔE to the lowest computed polymorph	0.0	meV per atom
energy of formation from the pure elements	1530	meV/atom

***

# 2
Compound: NbAgPb2
Source: the Alexandria database
Functional: PBE-GGA
Structure: optimized geometry

Structure (CIF):
```
data_NbAgPb2
_chemical_formula_sum 'Nb4 Ag4 Pb8'
_cell_length_a 7.187
_cell_length_b 7.187
_cell_length_c 7.187
_cell_angle_alpha 90.00
_cell_angle_beta 90.00
_cell_angle_gamma 90.00
_space_group_name_H-M_alt 'F m -3 m'
_space_group_IT_number 225
_space_group_name_Hall '-F 4 2 3'
loop_
_atom_site_label
_atom_site_fract_x
_atom_site_fract_y
_atom_site_fract_z
Nb1 0.000 0.000 0.000
Ag1 0.000 0.000 0.500
Pb1 0.250 0.250 0.250
```

Properties
V	371	Å³/cell
ΔE to the lowest computed polymorph	0.0	meV per atom
energy of formation from the pure elements	553	meV/atom

***

# 3
Compound: NbAgPbSe2
Source: the Alexandria database
Functional: PBE-GGA
Structure: optimized geometry

Structure (CIF):
```
data_NbAgPbSe2
_chemical_formula_sum 'Nb1 Ag1 Pb1 Se2'
_cell_length_a 5.106
_cell_length_b 5.106
_cell_length_c 5.185
_cell_angle_alpha 90.00
_cell_angle_beta 90.00
_cell_angle_gamma 90.00
_space_group_name_H-M_alt 'P 4/m m m'
_space_group_IT_number 123
_space_group_name_Hall '-P 4 2'
loop_
_atom_site_label
_atom_site_fract_x
_atom_site_fract_y
_atom_site_fract_z
Nb1 0.000 0.000 0.000
Ag1 0.000 0.000 0.500
Pb1 0.500 0.500 0.000
Se1 0.000 0.500 0.500
```

Properties
V	135	Å³/cell
E_form (uncorrected)	0.851	eV/atom

***

# 4
Compound: NbAgSnPb2
Source: the Alexandria database
Functional: PBE-GGA
Structure: optimized geometry

Structure (CIF):
```
data_NbAgSnPb2
_chemical_formula_sum 'Nb1 Ag1 Sn1 Pb2'
_cell_length_a 5.458
_cell_length_b 5.458
_cell_length_c 5.200
_cell_angle_alpha 90.00
_cell_angle_beta 90.00
_cell_angle_gamma 90.00
_space_group_name_H-M_alt 'P 4/m m m'
_space_group_IT_number 123
_space_group_name_Hall '-P 4 2'
loop_
_atom_site_label
_atom_site_fract_x
_atom_site_fract_y
_atom_site_fract_z
Nb1 0.000 0.000 0.000
Ag1 0.500 0.500 0.500
Sn1 0.500 0.500 0.000
Pb1 0.000 0.500 0.500
```

Properties
V	155	Å³/cell
energy of formation from the pure elements	1053	meV/atom